1.
## K2Ga2Te (GGA-PBE)

Data for a relaxed structure of K2Ga2Te.

CIF file:
```
data_K2Ga2Te
_cell_length_a 4.881
_cell_length_b 4.881
_cell_length_c 14.213
_cell_angle_alpha 90.00
_cell_angle_beta 90.00
_cell_angle_gamma 90.00
_space_group_name_H-M_alt 'I 4/m m m'
_space_group_IT_number 139
_space_group_name_Hall '-I 4 2'
loop_
_atom_site_label
_atom_site_fract_x
_atom_site_fract_y
_atom_site_fract_z
K1 0.000 0.500 0.250
Ga1 0.000 0.000 0.085
Te1 0.000 0.000 0.500
```

***

2.
## K2Ga2Te (GGA-PBE)

Data for a relaxed structure of K2Ga2Te.

CIF file:
```
data_K2Ga2Te
_cell_length_a 7.705
_cell_length_b 7.705
_cell_length_c 5.536
_cell_angle_alpha 90.00
_cell_angle_beta 90.00
_cell_angle_gamma 90.00
_space_group_name_H-M_alt 'P 4/m b m'
_space_group_IT_number 127
_space_group_name_Hall '-P 4 2ab'
loop_
_atom_site_label
_atom_site_fract_x
_atom_site_fract_y
_atom_site_fract_z
K1 0.192 0.308 0.000
Ga1 0.115 0.615 0.500
Te1 0.000 0.000 0.500
```

***

Going by the energies, 2 is most stable and the next is 0.228 eV/atom up.

***

1.
## KGa2Te4 (GGA-PBE)

Data for a relaxed structure of KGa2Te4.

CIF file:
```
data_KGa2Te4
_cell_length_a 6.020
_cell_length_b 6.020
_cell_length_c 15.188
_cell_angle_alpha 90.00
_cell_angle_beta 90.00
_cell_angle_gamma 90.00
_space_group_name_H-M_alt 'I 4/m m m'
_space_group_IT_number 139
_space_group_name_Hall '-I 4 2'
loop_
_atom_site_label
_atom_site_fract_x
_atom_site_fract_y
_atom_site_fract_z
K1 0.000 0.000 0.000
Ga1 0.000 0.000 0.419
Te1 0.000 0.000 0.254
Te2 0.000 0.500 0.000
```

***

2.
## KGa2Te4 (GGA-PBE)

Data for a relaxed structure of KGa2Te4.

CIF file:
```
data_KGa2Te4
_cell_length_a 8.614
_cell_length_b 8.614
_cell_length_c 6.896
_cell_angle_alpha 90.00
_cell_angle_beta 90.00
_cell_angle_gamma 90.00
_space_group_name_H-M_alt 'I 4 2 2'
_space_group_IT_number 97
_space_group_name_Hall 'I 4 2'
loop_
_atom_site_label
_atom_site_fract_x
_atom_site_fract_y
_atom_site_fract_z
K1 0.000 0.000 0.000
Ga1 0.000 0.500 0.000
Te1 0.166 0.334 0.750
```

***

Going by the energies, 2 is most stable and the next is 0.613 eV/atom up.

***

1.
## KTiGa3 (GGA-PBE)

Data for a relaxed structure of KTiGa3.

CIF file:
```
data_KTiGa3
_cell_length_a 5.250
_cell_length_b 5.250
_cell_length_c 5.250
_cell_angle_alpha 90.00
_cell_angle_beta 90.00
_cell_angle_gamma 90.00
_space_group_name_H-M_alt 'P m -3 m'
_space_group_IT_number 221
_space_group_name_Hall '-P 4 2 3'
loop_
_atom_site_label
_atom_site_fract_x
_atom_site_fract_y
_atom_site_fract_z
K1 0.000 0.000 0.000
Ti1 0.500 0.500 0.500
Ga1 0.000 0.000 0.500
```

***

2.
## KTiGa3 (GGA-PBE)

Data for a relaxed structure of KTiGa3.

CIF file:
```
data_KTiGa3
_cell_length_a 5.132
_cell_length_b 5.132
_cell_length_c 5.132
_cell_angle_alpha 90.00
_cell_angle_beta 90.00
_cell_angle_gamma 90.00
_space_group_name_H-M_alt 'P m -3 m'
_space_group_IT_number 221
_space_group_name_Hall '-P 4 2 3'
loop_
_atom_site_label
_atom_site_fract_x
_atom_site_fract_y
_atom_site_fract_z
K1 0.000 0.000 0.000
Ti1 0.500 0.500 0.500
Ga1 0.000 0.500 0.500
```

***

Going by the energies, 2 is most stable and the next is 1.323 eV/atom up.

***

1.
## KTiGa2 (GGA-PBE)

Data for a relaxed structure of KTiGa2.

CIF file:
```
data_KTiGa2
_cell_length_a 7.051
_cell_length_b 7.051
_cell_length_c 7.051
_cell_angle_alpha 90.00
_cell_angle_beta 90.00
_cell_angle_gamma 90.00
_space_group_name_H-M_alt 'F m -3 m'
_space_group_IT_number 225
_space_group_name_Hall '-F 4 2 3'
loop_
_atom_site_label
_atom_site_fract_x
_atom_site_fract_y
_atom_site_fract_z
K1 0.000 0.000 0.000
Ti1 0.000 0.000 0.500
Ga1 0.250 0.250 0.250
```

***

2.
## KTiGa2 (GGA-PBE)

Data for a relaxed structure of KTiGa2.

CIF file:
```
data_KTiGa2
_cell_length_a 5.367
_cell_length_b 5.367
_cell_length_c 18.231
_cell_angle_alpha 90.00
_cell_angle_beta 90.00
_cell_angle_gamma 90.00
_space_group_name_H-M_alt 'I 41/a m d'
_space_group_IT_number 141
loop_
_space_group_symop_operation_xyz
'x,y,z'
'-x,-y,-z'
'-y+1/4,x+3/4,z+1/4'
'y+1/4,-x+3/4,-z+1/4'
'-x+1/2,-y,z+1/2'
'x+1/2,y,-z+1/2'
'y+1/4,-x+1/4,z+3/4'
'-y+1/4,x+1/4,-z+3/4'
'x,-y,-z'
'-x,y,z'
'-y+1/4,-x+1/4,-z+3/4'
'y+1/4,x+1/4,z+3/4'
'-x+1/2,y,-z+1/2'
'x+1/2,-y,z+1/2'
'y+1/4,x+3/4,-z+1/4'
'-y+1/4,-x+3/4,z+1/4'
'x+1/2,y+1/2,z+1/2'
'-x+1/2,-y+1/2,-z+1/2'
'-y+3/4,x+1/4,z+3/4'
'y+3/4,-x+1/4,-z+3/4'
'-x,-y+1/2,z'
'x,y+1/2,-z'
'y+3/4,-x+3/4,z+1/4'
'-y+3/4,x+3/4,-z+1/4'
'x+1/2,-y+1/2,-z+1/2'
'-x+1/2,y+1/2,z+1/2'
'-y+3/4,-x+3/4,-z+1/4'
'y+3/4,x+3/4,z+1/4'
'-x,y+1/2,-z'
'x,-y+1/2,z'
'y+3/4,x+1/4,-z+3/4'
'-y+3/4,-x+1/4,z+3/4'
loop_
_atom_site_label
_atom_site_fract_x
_atom_site_fract_y
_atom_site_fract_z
K1 0.000 0.250 0.375
Ti1 0.000 0.250 0.875
Ga1 0.000 0.000 0.000
```

***

Going by the energies, 1 is most stable and the next is 0.046 eV/atom up.

***

1.
## K2TiGa2 (GGA-PBE)

Data for a relaxed structure of K2TiGa2.

CIF file:
```
data_K2TiGa2
_cell_length_a 4.099
_cell_length_b 4.099
_cell_length_c 15.273
_cell_angle_alpha 90.00
_cell_angle_beta 90.00
_cell_angle_gamma 90.00
_space_group_name_H-M_alt 'I 4/m m m'
_space_group_IT_number 139
_space_group_name_Hall '-I 4 2'
loop_
_atom_site_label
_atom_site_fract_x
_atom_site_fract_y
_atom_site_fract_z
K1 0.000 0.500 0.250
Ti1 0.000 0.000 0.000
Ga1 0.000 0.000 0.421
```

***

2.
## K2TiGa2 (GGA-PBE)

Data for a relaxed structure of K2TiGa2.

CIF file:
```
data_K2TiGa2
_cell_length_a 7.077
_cell_length_b 7.077
_cell_length_c 5.978
_cell_angle_alpha 90.00
_cell_angle_beta 90.00
_cell_angle_gamma 90.00
_space_group_name_H-M_alt 'P 4/m b m'
_space_group_IT_number 127
_space_group_name_Hall '-P 4 2ab'
loop_
_atom_site_label
_atom_site_fract_x
_atom_site_fract_y
_atom_site_fract_z
K1 0.180 0.320 0.000
Ti1 0.000 0.000 0.500
Ga1 0.133 0.633 0.500
```

***

Going by the energies, 2 is most stable and the next is 0.228 eV/atom up.

***

1.
## K2TlGa (GGA-PBE)

Data for a relaxed structure of K2TlGa.

CIF file:
```
data_K2TlGa
_cell_length_a 8.360
_cell_length_b 8.360
_cell_length_c 8.360
_cell_angle_alpha 90.00
_cell_angle_beta 90.00
_cell_angle_gamma 90.00
_space_group_name_H-M_alt 'F m -3 m'
_space_group_IT_number 225
_space_group_name_Hall '-F 4 2 3'
loop_
_atom_site_label
_atom_site_fract_x
_atom_site_fract_y
_atom_site_fract_z
K1 0.250 0.250 0.250
Tl1 0.000 0.000 0.000
Ga1 0.000 0.000 0.500
```

***

2.
## K2TlGa (GGA-PBE)

Data for a relaxed structure of K2TlGa.

CIF file:
```
data_K2TlGa
_cell_length_a 3.7317
_cell_length_b 3.7317
_cell_length_c 38.1974
_cell_angle_alpha 90.00
_cell_angle_beta 90.00
_cell_angle_gamma 120.00
_space_group_name_H-M_alt 'R -3 m'
_space_group_IT_number 166
_space_group_name_Hall '-R 3 2"'
loop_
_atom_site_label
_atom_site_fract_x
_atom_site_fract_y
_atom_site_fract_z
K1 0.0000 0.0000 0.0878
Tl1 0.0000 0.0000 0.5000
Ga1 0.0000 0.0000 0.0000
```

***

3.
## K2TlGa (GGA-PBE)

Data for a relaxed structure of K2TlGa.

CIF file:
```
data_K2TlGa
_cell_length_a 9.746
_cell_length_b 9.746
_cell_length_c 6.464
_cell_angle_alpha 90.00
_cell_angle_beta 90.00
_cell_angle_gamma 90.00
_space_group_name_H-M_alt 'I -4 2 d'
_space_group_IT_number 122
_space_group_name_Hall 'I -4 2bw'
loop_
_atom_site_label
_atom_site_fract_x
_atom_site_fract_y
_atom_site_fract_z
K1 0.227 0.750 0.125
Tl1 0.000 0.000 0.500
Ga1 0.000 0.000 0.000
```

***

Going by the energies, 1 is most stable and the next is 0.050 eV/atom up.

***

1.
## KTl2Ga (GGA-PBE)

Data for a relaxed structure of KTl2Ga.

CIF file:
```
data_KTl2Ga
_cell_length_a 3.818
_cell_length_b 3.818
_cell_length_c 8.437
_cell_angle_alpha 90.00
_cell_angle_beta 90.00
_cell_angle_gamma 90.00
_space_group_name_H-M_alt 'P 4/m m m'
_space_group_IT_number 123
_space_group_name_Hall '-P 4 2'
loop_
_atom_site_label
_atom_site_fract_x
_atom_site_fract_y
_atom_site_fract_z
K1 0.000 0.000 0.000
Tl1 0.500 0.500 0.304
Ga1 0.000 0.000 0.500
```

***

2.
## KTl2Ga (GGA-PBE)

Data for a relaxed structure of KTl2Ga.

CIF file:
```
data_KTl2Ga
_cell_length_a 5.052
_cell_length_b 5.052
_cell_length_c 4.723
_cell_angle_alpha 90.00
_cell_angle_beta 90.00
_cell_angle_gamma 90.00
_space_group_name_H-M_alt 'P 4/m m m'
_space_group_IT_number 123
_space_group_name_Hall '-P 4 2'
loop_
_atom_site_label
_atom_site_fract_x
_atom_site_fract_y
_atom_site_fract_z
K1 0.000 0.000 0.000
Tl1 0.000 0.500 0.500
Ga1 0.500 0.500 0.000
```

***

3.
## KTl2Ga (GGA-PBE)

Data for a relaxed structure of KTl2Ga.

CIF file:
```
data_KTl2Ga
_cell_length_a 7.751
_cell_length_b 7.751
_cell_length_c 7.751
_cell_angle_alpha 90.00
_cell_angle_beta 90.00
_cell_angle_gamma 90.00
_space_group_name_H-M_alt 'F m -3 m'
_space_group_IT_number 225
_space_group_name_Hall '-F 4 2 3'
loop_
_atom_site_label
_atom_site_fract_x
_atom_site_fract_y
_atom_site_fract_z
K1 0.000 0.000 0.000
Tl1 0.250 0.250 0.250
Ga1 0.000 0.000 0.500
```

***

4.
## KTl2Ga (GGA-PBE)

Data for a relaxed structure of KTl2Ga.

CIF file:
```
data_KTl2Ga
_cell_length_a 4.7806
_cell_length_b 4.7806
_cell_length_c 20.8918
_cell_angle_alpha 90.00
_cell_angle_beta 90.00
_cell_angle_gamma 120.00
_space_group_name_H-M_alt 'R 3 m'
_space_group_IT_number 160
_space_group_name_Hall 'R 3 -2"'
loop_
_atom_site_label
_atom_site_fract_x
_atom_site_fract_y
_atom_site_fract_z
K1 0.0000 0.0000 0.0000
Tl1 0.0000 0.0000 0.2169
Tl2 0.0000 0.0000 0.4440
Ga1 0.0000 0.0000 0.8193
```

***

Going by the energies, 4 is most stable and the next is 0.011 eV/atom up.

***

1.
## KTl2Ga (GGA-PBE)

Data for a relaxed structure of KTl2Ga.

CIF file:
```
data_KTl2Ga
_cell_length_a 4.6967
_cell_length_b 4.6967
_cell_length_c 27.4589
_cell_angle_alpha 90.00
_cell_angle_beta 90.00
_cell_angle_gamma 120.00
_space_group_name_H-M_alt 'R -3 m'
_space_group_IT_number 166
_space_group_name_Hall '-R 3 2"'
loop_
_atom_site_label
_atom_site_fract_x
_atom_site_fract_y
_atom_site_fract_z
K1 0.0000 0.0000 0.0000
Tl1 0.0000 0.0000 0.1254
Ga1 0.0000 0.0000 0.5000
```

***

2.
## KTl2Ga (GGA-PBE)

Data for a relaxed structure of KTl2Ga.

CIF file:
```
data_KTl2Ga
_cell_length_a 5.649
_cell_length_b 5.649
_cell_length_c 19.636
_cell_angle_alpha 90.00
_cell_angle_beta 90.00
_cell_angle_gamma 90.00
_space_group_name_H-M_alt 'I -4 2 d'
_space_group_IT_number 122
_space_group_name_Hall 'I -4 2bw'
loop_
_atom_site_label
_atom_site_fract_x
_atom_site_fract_y
_atom_site_fract_z
K1 0.000 0.000 0.000
Tl1 0.113 0.250 0.625
Ga1 0.000 0.000 0.500
```

***

Going by the energies, 1 is most stable and the next is 0.028 eV/atom up.